Record 1
DFT (PBE-GGA) results for crystalline Pr2Al4ZnPd3 at its relaxed geometry.

Unit cell a=4.3328 b=4.3328 c=10.4861 alpha=90.00 beta=90.00 gamma=90.00
Element x y z (fractional)
Al  0.0000  0.5000  0.3684
Al  0.0000  0.0000  0.0000
Al  0.5000  0.5000  0.0000
Al  0.5000  0.0000  0.6316
Pr  0.0000  0.5000  0.7482
Pr  0.5000  0.0000  0.2518
Pd  0.0000  0.5000  0.1288
Pd  0.5000  0.0000  0.8712
Pd  0.0000  0.0000  0.5000
Zn  0.5000  0.5000  0.5000

- spin magnetization (μB per atom) = 0.00
- SG = P-4m2, No. 115
- total DFT energy (no corrections) (eV for the cell shown) = -48.82
- DOS(E_F) (states/eV/atom) = 0.9194

Record 2
DFT (PBE-GGA) results for crystalline PmCd6Au4 at its relaxed geometry.

Unit cell a=3.9591 b=8.5101 c=8.5101 alpha=120.00 beta=90.00 gamma=90.00
Element x y z (fractional)
Cd  0.5000  0.6039  0.8019
Cd  0.0000  0.5384  0.0769
Cd  0.5000  0.1981  0.8019
Cd  0.0000  0.9231  0.4616
Cd  0.5000  0.1981  0.3961
Cd  0.0000  0.5384  0.4616
Au  0.5000  0.8269  0.6538
Au  0.5000  0.3462  0.1731
Au  0.0000  0.3333  0.6667
Au  0.5000  0.8269  0.1731
Pm  0.0000  0.0000  0.0000

- spin magnetization (μB per atom) = 0.00
- SG = P-6m2, No. 187
- total DFT energy (no corrections) (eV for the cell shown) = -26.69
- DOS(E_F) (states/eV/atom) = 0.3962

Record 3
DFT (PBE-GGA) results for crystalline NaTl4In5 at its relaxed geometry.

Unit cell a=6.2514 b=7.5798 c=7.5798 alpha=80.21 beta=65.65 gamma=65.65
Element x y z (fractional)
In  0.2938  0.7136  0.6022
In  0.8960  0.3978  0.7136
In  0.0075  0.6022  0.2864
In  0.6097  0.2864  0.3978
In  0.7112  0.0000  0.0000
Tl  0.3134  0.3821  0.8964
Tl  0.2098  0.1036  0.3821
Tl  0.6955  0.8964  0.6179
Tl  0.5919  0.6179  0.1036
Na  0.1816  0.0000  0.0000

- polymorph energy (0 for the lowest one) (meV/atom) = 87
- spin magnetization (μB per atom) = 0.00
- SG = I4, No. 79
- total DFT energy (no corrections) (eV for the cell shown) = -23.78
- DOS(E_F) (states/eV/atom) = 0.4733

Record 4
DFT (PBE-GGA) results for crystalline Ga2CuSn at its relaxed geometry.

Unit cell a=4.0937 b=4.0937 c=5.9887 alpha=70.01 beta=70.01 gamma=60.00
Element x y z (fractional)
Sn  0.0000  0.0000  0.0000
Ga  0.2186  0.2186  0.3443
Ga  0.7814  0.7814  0.6557
Cu  0.5000  0.5000  0.5000

- spin magnetization (μB per atom) = 0.00
- SG = R-3m, No. 166
- total DFT energy (no corrections) (eV for the cell shown) = -13.92
- DOS(E_F) (states/eV/atom) = 0.3212

Record 5
DFT (PBE-GGA) results for crystalline Na12HgAu6 at its relaxed geometry.

Unit cell a=8.5866 b=8.5866 c=8.5866 alpha=111.32 beta=111.32 gamma=111.32
Element x y z (fractional)
Hg  0.0000  0.0000  0.0000
Na  0.8020  0.6526  0.5119
Na  0.6526  0.5119  0.8020
Na  0.8148  0.2532  0.8702
Na  0.1298  0.1852  0.7468
Na  0.1980  0.3474  0.4881
Na  0.4881  0.1980  0.3474
Na  0.1852  0.7468  0.1298
Na  0.8702  0.8148  0.2532
Na  0.5119  0.8020  0.6526
Na  0.3474  0.4881  0.1980
Na  0.2532  0.8702  0.8148
Na  0.7468  0.1298  0.1852
Au  0.4264  0.6666  0.9602
Au  0.3334  0.0398  0.5736
Au  0.6666  0.9602  0.4264
Au  0.0398  0.5736  0.3334
Au  0.5736  0.3334  0.0398
Au  0.9602  0.4264  0.6666

- polymorph energy (0 for the lowest one) (meV/atom) = 0
- spin magnetization (μB per atom) = 0.00
- SG = R-3, No. 148
- total DFT energy (no corrections) (eV for the cell shown) = -39.97
- DOS(E_F) (states/eV/atom) = 0.2690

Record 6
DFT (PBE-GGA) results for crystalline Dy7Co2Ni2 at its relaxed geometry.

Unit cell a=6.4734 b=6.7231 c=6.4734 alpha=90.00 beta=111.83 gamma=90.00
Element x y z (fractional)
Dy  0.4998  0.2564  0.5002
Dy  0.5003  0.7376  0.9998
Dy  0.9998  0.2624  0.5003
Dy  0.0000  0.0000  0.0000
Dy  0.4997  0.2624  0.0002
Dy  0.5002  0.7436  0.4998
Dy  0.0002  0.7376  0.4997
Co  0.7011  0.0000  0.2989
Co  0.2989  0.0000  0.7011
Ni  0.1711  0.5000  0.1711
Ni  0.8289  0.5000  0.8289

- spin magnetization (μB per atom) = 0.00
- SG = Cmmm, No. 65
- total DFT energy (no corrections) (eV for the cell shown) = -58.66
- DOS(E_F) (states/eV/atom) = 0.8723

Record 7
DFT (PBE-GGA) results for crystalline KFeRe2 at its relaxed geometry.

Unit cell a=10.3086 b=10.3086 c=10.3086 alpha=15.32 beta=15.32 gamma=15.32
Element x y z (fractional)
Fe  0.2500  0.2500  0.2500
Re  0.9825  0.9825  0.9825
Re  0.5175  0.5175  0.5175
K  0.7500  0.7500  0.7500

- polymorph energy (0 for the lowest one) (meV/atom) = 34
- spin magnetization (μB per atom) = 0.00
- SG = R-3m, No. 166
- total DFT energy (no corrections) (eV for the cell shown) = -31.11
- DOS(E_F) (states/eV/atom) = 1.3815

Record 8
DFT (PBE-GGA) results for crystalline RbTlC2 at its relaxed geometry.

Unit cell a=4.7452 b=4.7452 c=4.7452 alpha=60.00 beta=60.00 gamma=60.00
Element x y z (fractional)
C  0.7500  0.7500  0.7500
C  0.2500  0.2500  0.2500
Rb  0.0000  0.0000  0.0000
Tl  0.5000  0.5000  0.5000

- polymorph energy (0 for the lowest one) (meV/atom) = 384
- spin magnetization (μB per atom) = 0.00
- SG = Fm-3m, No. 225
- total DFT energy (no corrections) (eV for the cell shown) = -11.59
- DOS(E_F) (states/eV/atom) = 0.7144

Record 9
DFT (PBE-GGA) results for crystalline Na3Pr3AsO8 at its relaxed geometry.

Unit cell a=7.0068 b=7.0067 c=6.9063 alpha=120.48 beta=90.00 gamma=120.00
Element x y z (fractional)
Na  0.0000  0.0000  0.0000
Na  0.5000  0.5000  0.0000
Na  0.0000  0.5000  0.0000
O  0.7937  0.0103  0.3040
O  0.7407  0.4814  0.7221
O  0.2063  0.4126  0.6960
O  0.2063  0.9897  0.6960
O  0.7834  0.9897  0.6960
O  0.2593  0.5186  0.2779
O  0.2166  0.0103  0.3040
O  0.7937  0.5874  0.3040
Pr  0.0000  0.5000  0.5000
Pr  0.5000  0.0000  0.5000
Pr  0.5000  0.5000  0.5000
As  0.0000  0.0000  0.5000

- spin magnetization (μB per atom) = 0.00
- SG = R-3m, No. 166
- total DFT energy (no corrections) (eV for the cell shown) = -96.29
- energy relative to the elements, uncorrected (eV per atom) = -2.25
- DOS(E_F) (states/eV/atom) = 0.0803

Record 10
DFT (PBE-GGA) results for crystalline La2PmY6Th3 at its relaxed geometry.

Unit cell a=6.2650 b=6.2650 c=11.8419 alpha=95.08 beta=95.08 gamma=120.01
Element x y z (fractional)
Y  0.7534  0.7534  0.2583
Y  0.9141  0.5816  0.7420
Y  0.2466  0.2466  0.7417
Y  0.0859  0.4184  0.2580
Y  0.4184  0.0859  0.2580
Y  0.5816  0.9141  0.7420
Th  0.8332  0.1668  0.5000
Th  0.1668  0.8332  0.5000
Th  0.5000  0.5000  0.5000
Pm  0.0000  0.0000  0.0000
La  0.6662  0.3338  0.0000
La  0.3338  0.6662  0.0000

- spin magnetization (μB per atom) = 0.00
- SG = C2/m, No. 12
- total DFT energy (no corrections) (eV for the cell shown) = -75.43
- DOS(E_F) (states/eV/atom) = 1.4701

Record 11
DFT (PBE-GGA) results for crystalline Na3Hg2Bi2 at its relaxed geometry.

Unit cell a=5.0118 b=6.2283 c=10.4399 alpha=44.55 beta=76.11 gamma=66.28
Element x y z (fractional)
Na  0.5000  0.0000  0.0000
Na  0.3468  0.9179  0.3885
Na  0.6532  0.0821  0.6115
Bi  0.0509  0.5773  0.3208
Bi  0.9491  0.4227  0.6792
Hg  0.8078  0.3185  0.0660
Hg  0.1922  0.6815  0.9340

- polymorph energy (0 for the lowest one) (meV/atom) = 36
- spin magnetization (μB per atom) = 0.00
- SG = C2/m, No. 12
- total DFT energy (no corrections) (eV for the cell shown) = -14.01
- DOS(E_F) (states/eV/atom) = 0.3752

Record 12
DFT (PBE-GGA) results for crystalline ScAgTe3 at its relaxed geometry.

Unit cell a=4.1229 b=7.7403 c=9.4303 alpha=97.80 beta=90.00 gamma=90.00
Element x y z (fractional)
Ag  0.2500  0.8087  0.2376
Ag  0.7500  0.1913  0.7624
Te  0.7500  0.3378  0.0527
Te  0.7500  0.0987  0.2540
Te  0.2500  0.9013  0.7460
Te  0.2500  0.6622  0.9473
Te  0.2500  0.3428  0.5987
Te  0.7500  0.6572  0.4013
Sc  0.7500  0.6088  0.7079
Sc  0.2500  0.3912  0.2921

- polymorph energy (0 for the lowest one) (meV/atom) = 0
- spin magnetization (μB per atom) = 0.00
- SG = P2_1/m, No. 11
- total DFT energy (no corrections) (eV for the cell shown) = -42.77
- energy relative to the elements, uncorrected (eV per atom) = -0.56
- DOS(E_F) (states/eV/atom) = 0.1153